# 1
A geometry-optimized SrWN2F structure, computed with GGA+U.

Output
As for the relative energy among the computed polymorphs: 2069 meV/atom. Its space-group type is P4/mmm.

Lattice parameters (Å, degrees): 4.7632 4.7632 4.3667 90.00 90.00 90.00
With the nearest neighbours (Å) after each atom.
Sites, in units of the cell vectors:
Sr (0.0000, 0.0000, 0.0000)  2 F 2.18, 4 N 2.38
W (0.5000, 0.5000, 0.5000)  8 N 3.23, 4 F 3.37
N (0.0000, 0.5000, 0.0000)  2 Sr 2.38
N (0.5000, 0.0000, 0.0000)  2 Sr 2.38
F (0.0000, 0.0000, 0.5000)  2 Sr 2.18

# 2
A geometry-optimized SrWN2F structure, computed with GGA+U.

Output
As for the relative energy among the computed polymorphs: 0 meV/atom. Its space-group type is P4/mmm.

Lattice parameters (Å, degrees): 4.0858 4.0858 4.2134 90.00 90.00 90.00
With the nearest neighbours (Å) after each atom.
Sites, in units of the cell vectors:
Sr (0.0000, 0.0000, 0.0000)  4 F 2.89, 8 N 2.93
W (0.5000, 0.5000, 0.5000)  4 N 2.04, 2 F 2.11
N (0.0000, 0.5000, 0.5000)  2 W 2.04
N (0.5000, 0.0000, 0.5000)  2 W 2.04
F (0.5000, 0.5000, 0.0000)  2 W 2.11

# 3
A geometry-optimized SrWNF2 structure, computed with GGA+U.

Output
As for the relative energy among the computed polymorphs: 0 meV/atom. Its space-group type is P4/mmm.

Lattice parameters (Å, degrees): 4.2913 4.2913 4.3319 90.00 90.00 90.00
With the nearest neighbours (Å) after each atom.
Sites, in units of the cell vectors:
Sr (0.0000, 0.0000, 0.0000)  4 N 3.03, 8 F 3.05
W (0.5000, 0.5000, 0.5000)  4 F 2.15, 2 N 2.17
N (0.5000, 0.5000, 0.0000)  2 W 2.17
F (0.0000, 0.5000, 0.5000)  2 W 2.15
F (0.5000, 0.0000, 0.5000)  2 W 2.15